Below is Li2LaZn after structural relaxation, with properties calculated at the PBE-GGA level. Values from VASP.

Cell and atoms, written as Quantum ESPRESSO input:
```
&SYSTEM
  ibrav = 0, nat = 8, ntyp = 3
/
ATOMIC_SPECIES
La 138.91 La.upf
Zn 65.41 Zn.upf
Li 6.94 Li.upf
CELL_PARAMETERS angstrom
4.336 0.000 0.000
0.000 4.336 0.000
2.168 2.168 10.456
ATOMIC_POSITIONS crystal
La 0.750 0.250 0.500
La 0.000 0.000 0.000
Zn 0.250 0.750 0.500
Zn 0.500 0.500 0.000
Li 0.375 0.791 0.750
Li 0.541 0.625 0.250
Li 0.875 0.459 0.750
Li 0.209 0.125 0.250
```

Values from the calculation:
- Crystal system: tetragonal
- Energy of formation: 105.8 meV/atom
- DFT total energy: -2.401 eV per atom

---

Below is LiLaZn after structural relaxation, with properties calculated at the PBE-GGA level. Values from VASP.

Cell and atoms, written as Quantum ESPRESSO input:
```
&SYSTEM
  ibrav = 0, nat = 3, ntyp = 3
/
ATOMIC_SPECIES
Li 6.94 Li.upf
La 138.91 La.upf
Zn 65.41 Zn.upf
CELL_PARAMETERS angstrom
5.004 0.000 0.000
2.502 4.333 0.000
2.502 1.444 4.085
ATOMIC_POSITIONS crystal
Li 0.000 0.000 0.000
La 0.750 0.750 0.750
Zn 0.500 0.500 0.500
```

Values from the calculation:
- Crystal system: cubic
- Energy of formation: 386.7 meV/atom
- DFT total energy: -2.318 eV per atom

---

Below is LiLa2Zn2 after structural relaxation, with properties calculated at the PBE-GGA level. Values from VASP.

Cell and atoms, written as Quantum ESPRESSO input:
```
&SYSTEM
  ibrav = 0, nat = 5, ntyp = 3
/
ATOMIC_SPECIES
Zn 65.41 Zn.upf
Li 6.94 Li.upf
La 138.91 La.upf
CELL_PARAMETERS angstrom
4.756 0.000 0.000
0.000 4.756 0.000
2.378 2.378 6.509
ATOMIC_POSITIONS crystal
Zn 0.593 0.593 0.815
Zn 0.407 0.407 0.185
Li 0.000 0.000 0.000
La 0.250 0.750 0.500
La 0.750 0.250 0.500
```

Values from the calculation:
- Crystal system: tetragonal
- Energy of formation: 109.0 meV/atom
- DFT total energy: -2.754 eV per atom

---

Below is LiLaZn after structural relaxation, with properties calculated at the PBE-GGA level. Values from VASP.

Cell and atoms, written as Quantum ESPRESSO input:
```
&SYSTEM
  ibrav = 0, nat = 3, ntyp = 3
/
ATOMIC_SPECIES
Zn 65.41 Zn.upf
Li 6.94 Li.upf
La 138.91 La.upf
CELL_PARAMETERS angstrom
3.552 0.000 0.000
-1.776 3.076 0.000
0.000 0.000 7.012
ATOMIC_POSITIONS crystal
Zn 0.333 0.667 0.636
Li 0.667 0.333 0.392
La 0.000 0.000 0.972
```

Values from the calculation:
- Crystal system: trigonal
- Energy of formation: 38.0 meV/atom
- DFT total energy: -2.667 eV per atom

---

Below is Li3LaZn2 after structural relaxation, with properties calculated at the PBE-GGA level. Values from VASP.

Cell and atoms, written as Quantum ESPRESSO input:
```
&SYSTEM
  ibrav = 0, nat = 18, ntyp = 3
/
ATOMIC_SPECIES
Zn 65.41 Zn.upf
La 138.91 La.upf
Li 6.94 Li.upf
CELL_PARAMETERS angstrom
-2.568 2.389 2.615
-2.461 5.752 -7.672
-5.375 -8.051 2.075
ATOMIC_POSITIONS crystal
Zn 0.500 0.810 0.621
Zn 0.500 0.621 0.810
Zn 0.500 0.379 0.190
Zn 0.500 0.190 0.379
Zn 0.500 0.810 0.190
Zn 0.500 0.190 0.810
La 0.500 0.000 0.000
La 0.000 0.333 0.667
La 0.000 0.667 0.333
Li 0.000 0.000 0.704
Li 0.000 0.000 0.296
Li 0.500 0.500 0.000
Li 0.500 0.500 0.500
Li 0.500 0.000 0.500
Li 0.000 0.704 0.000
Li 0.000 0.296 0.000
Li 0.000 0.296 0.296
Li 0.000 0.704 0.704
```

Values from the calculation:
- Crystal system: hexagonal
- Energy of formation: -136.0 meV/atom
- DFT total energy: -2.339 eV per atom

---

Below is LiLa6Zn after structural relaxation, with properties calculated at the PBE-GGA level. Values from VASP.

Cell and atoms, written as Quantum ESPRESSO input:
```
&SYSTEM
  ibrav = 0, nat = 8, ntyp = 3
/
ATOMIC_SPECIES
La 138.91 La.upf
Li 6.94 Li.upf
Zn 65.41 Zn.upf
CELL_PARAMETERS angstrom
0.941 -9.636 1.644
-1.443 -5.917 7.704
-3.303 7.246 -5.747
ATOMIC_POSITIONS crystal
La 0.608 0.108 0.500
La 0.892 0.392 0.500
La 0.108 0.608 0.500
La 0.392 0.892 0.500
La 0.751 0.751 0.000
La 0.249 0.249 0.000
Li 0.000 0.000 0.000
Zn 0.500 0.500 0.000
```

Values from the calculation:
- Crystal system: tetragonal
- Energy of formation: -54.3 meV/atom
- DFT total energy: -4.148 eV per atom

---

Below is Li2LaZn after structural relaxation, with properties calculated at the PBE-GGA level. Values from VASP.

Cell and atoms, written as Quantum ESPRESSO input:
```
&SYSTEM
  ibrav = 0, nat = 4, ntyp = 3
/
ATOMIC_SPECIES
Li 6.94 Li.upf
La 138.91 La.upf
Zn 65.41 Zn.upf
CELL_PARAMETERS angstrom
5.191 0.000 0.000
0.000 3.380 0.009
0.000 0.377 5.394
ATOMIC_POSITIONS crystal
Li 0.000 0.407 0.463
Li 0.000 0.093 0.037
La 0.500 0.750 0.750
Zn 0.500 0.250 0.250
```

Values from the calculation:
- Crystal system: monoclinic
- Energy of formation: -9.0 meV/atom
- DFT total energy: -2.516 eV per atom

---

Below is LiLaZn17 after structural relaxation, with properties calculated at the PBE-GGA level. Values from VASP.

Cell and atoms, written as Quantum ESPRESSO input:
```
&SYSTEM
  ibrav = 0, nat = 19, ntyp = 3
/
ATOMIC_SPECIES
Zn 65.41 Zn.upf
Li 6.94 Li.upf
La 138.91 La.upf
CELL_PARAMETERS angstrom
-2.114 -2.515 -6.001
-5.680 -3.036 2.306
-4.351 5.047 -1.551
ATOMIC_POSITIONS crystal
Zn 0.005 0.294 0.698
Zn 0.644 0.644 0.166
Zn 0.847 0.348 0.348
Zn 0.644 0.166 0.644
Zn 0.294 0.005 0.698
Zn 0.108 0.108 0.108
Zn 0.166 0.644 0.644
Zn 0.294 0.698 0.005
Zn 0.348 0.348 0.847
Zn 0.991 0.991 0.506
Zn 0.991 0.506 0.991
Zn 0.005 0.698 0.294
Zn 0.506 0.991 0.991
Zn 0.698 0.005 0.294
Zn 0.348 0.847 0.348
Zn 0.698 0.294 0.005
Zn 0.904 0.904 0.904
Li 0.350 0.350 0.350
La 0.661 0.661 0.661
```

Values from the calculation:
- Crystal system: trigonal
- Energy of formation: -145.9 meV/atom
- DFT total energy: -1.646 eV per atom

---

Below is Li2La2Zn after structural relaxation, with properties calculated at the PBE-GGA level. Values from VASP.

Cell and atoms, written as Quantum ESPRESSO input:
```
&SYSTEM
  ibrav = 0, nat = 5, ntyp = 3
/
ATOMIC_SPECIES
Li 6.94 Li.upf
La 138.91 La.upf
Zn 65.41 Zn.upf
CELL_PARAMETERS angstrom
-1.947 1.685 2.781
1.555 -2.364 2.521
7.010 5.809 3.972
ATOMIC_POSITIONS crystal
Li 0.250 0.750 0.500
Li 0.750 0.250 0.500
La 0.591 0.591 0.818
La 0.409 0.409 0.182
Zn 0.000 0.000 0.000
```

Values from the calculation:
- Crystal system: tetragonal
- Energy of formation: 6.5 meV/atom
- DFT total energy: -2.985 eV per atom

---

Below is LiLa2Zn2 after structural relaxation, with properties calculated at the PBE-GGA level. Values from VASP.

Cell and atoms, written as Quantum ESPRESSO input:
```
&SYSTEM
  ibrav = 0, nat = 5, ntyp = 3
/
ATOMIC_SPECIES
Zn 65.41 Zn.upf
Li 6.94 Li.upf
La 138.91 La.upf
CELL_PARAMETERS angstrom
3.797 0.000 0.000
0.000 3.797 0.000
1.898 1.898 9.436
ATOMIC_POSITIONS crystal
Zn 0.250 0.750 0.500
Zn 0.750 0.250 0.500
Li 0.000 0.000 0.000
La 0.387 0.387 0.226
La 0.613 0.613 0.774
```

Values from the calculation:
- Crystal system: tetragonal
- Energy of formation: 72.8 meV/atom
- DFT total energy: -2.791 eV per atom

---

Below is Li2LaZn after structural relaxation, with properties calculated at the PBE-GGA level. Values from VASP.

Cell and atoms, written as Quantum ESPRESSO input:
```
&SYSTEM
  ibrav = 0, nat = 4, ntyp = 3
/
ATOMIC_SPECIES
Li 6.94 Li.upf
La 138.91 La.upf
Zn 65.41 Zn.upf
CELL_PARAMETERS angstrom
3.468 0.000 0.000
0.000 3.470 0.000
0.000 0.000 7.596
ATOMIC_POSITIONS crystal
Li 0.000 0.000 0.064
Li 0.500 0.500 0.270
La 0.500 0.500 0.718
Zn 0.000 0.000 0.448
```

Values from the calculation:
- Crystal system: tetragonal
- Energy of formation: -67.0 meV/atom
- DFT total energy: -2.574 eV per atom

---

Below is Li2LaZn after structural relaxation, with properties calculated at the PBE-GGA level. Values from VASP.

Cell and atoms, written as Quantum ESPRESSO input:
```
&SYSTEM
  ibrav = 0, nat = 4, ntyp = 3
/
ATOMIC_SPECIES
Li 6.94 Li.upf
La 138.91 La.upf
Zn 65.41 Zn.upf
CELL_PARAMETERS angstrom
6.045 0.012 -0.007
2.686 5.416 0.007
-3.638 -3.883 2.868
ATOMIC_POSITIONS crystal
Li 0.458 0.458 0.000
Li 0.042 0.042 0.000
La 0.750 0.250 0.500
Zn 0.250 0.750 0.500
```

Values from the calculation:
- Crystal system: orthorhombic
- Energy of formation: -43.5 meV/atom
- DFT total energy: -2.551 eV per atom

---

Below is LiLa2Zr after structural relaxation, with properties calculated at the PBE-GGA level. Values from VASP.

Cell and atoms, written as Quantum ESPRESSO input:
```
&SYSTEM
  ibrav = 0, nat = 4, ntyp = 3
/
ATOMIC_SPECIES
Zr 91.22 Zr.upf
La 138.91 La.upf
Li 6.94 Li.upf
CELL_PARAMETERS angstrom
-2.094 -3.816 -4.557
-1.328 -5.893 -1.798
-5.536 -1.052 0.746
ATOMIC_POSITIONS crystal
Zr 0.235 0.235 0.232
La 0.759 0.759 0.720
La 0.990 0.990 0.036
Li 0.516 0.516 0.513
```

Values from the calculation:
- Crystal system: monoclinic
- Energy of formation: 174.8 meV/atom
- DFT total energy: -4.904 eV per atom

---

Below is LiLa4Zr after structural relaxation, with properties calculated at the PBE-GGA level. Values from VASP.

Cell and atoms, written as Quantum ESPRESSO input:
```
&SYSTEM
  ibrav = 0, nat = 6, ntyp = 3
/
ATOMIC_SPECIES
La 138.91 La.upf
Zr 91.22 Zr.upf
Li 6.94 Li.upf
CELL_PARAMETERS angstrom
1.992 1.197 6.151
-4.427 0.720 4.808
-0.622 -4.639 4.619
ATOMIC_POSITIONS crystal
La 0.883 0.372 0.372
La 0.372 0.372 0.883
La 0.372 0.883 0.372
La 0.372 0.372 0.372
Zr 0.000 0.000 0.000
Li 0.750 0.750 0.750
```

Values from the calculation:
- Crystal system: cubic
- Energy of formation: 529.9 meV/atom
- DFT total energy: -4.499 eV per atom

---

Below is LiLaZr after structural relaxation, with properties calculated at the PBE-GGA level. Values from VASP.

Cell and atoms, written as Quantum ESPRESSO input:
```
&SYSTEM
  ibrav = 0, nat = 6, ntyp = 3
/
ATOMIC_SPECIES
Li 6.94 Li.upf
Zr 91.22 Zr.upf
La 138.91 La.upf
CELL_PARAMETERS angstrom
-2.837 -3.294 1.899
-1.231 -2.951 -1.029
17.432 5.802 6.426
ATOMIC_POSITIONS crystal
Li 0.304 0.159 0.053
Li 0.696 0.841 0.947
Zr 0.042 0.383 0.794
Zr 0.958 0.617 0.206
La 0.370 0.866 0.622
La 0.630 0.134 0.378
```

Values from the calculation:
- Crystal system: triclinic
- Energy of formation: 201.4 meV/atom
- DFT total energy: -4.928 eV per atom

---

Below is LiLa2Zr after structural relaxation, with properties calculated at the PBE-GGA level. Values from VASP.

Cell and atoms, written as Quantum ESPRESSO input:
```
&SYSTEM
  ibrav = 0, nat = 4, ntyp = 3
/
ATOMIC_SPECIES
Li 6.94 Li.upf
La 138.91 La.upf
Zr 91.22 Zr.upf
CELL_PARAMETERS angstrom
11.500 -0.014 -0.008
10.974 3.436 -0.008
10.974 1.671 3.003
ATOMIC_POSITIONS crystal
Li 0.250 0.250 0.250
La 0.496 0.496 0.496
La 0.004 0.004 0.004
Zr 0.750 0.750 0.750
```

Values from the calculation:
- Crystal system: trigonal
- Energy of formation: 151.0 meV/atom
- DFT total energy: -4.928 eV per atom

---

Below is LiLaZr2 after structural relaxation, with properties calculated at the PBE-GGA level. Values from VASP.

Cell and atoms, written as Quantum ESPRESSO input:
```
&SYSTEM
  ibrav = 0, nat = 4, ntyp = 3
/
ATOMIC_SPECIES
La 138.91 La.upf
Zr 91.22 Zr.upf
Li 6.94 Li.upf
CELL_PARAMETERS angstrom
-2.353 -2.441 4.216
2.620 0.557 1.785
-1.252 5.183 2.303
ATOMIC_POSITIONS crystal
La 0.500 0.250 0.250
Zr 0.000 0.919 0.978
Zr 0.000 0.581 0.522
Li 0.500 0.750 0.750
```

Values from the calculation:
- Crystal system: monoclinic
- Energy of formation: 256.9 meV/atom
- DFT total energy: -5.727 eV per atom

---

Below is LiLaZr after structural relaxation, with properties calculated at the PBE-GGA level. Values from VASP.

Cell and atoms, written as Quantum ESPRESSO input:
```
&SYSTEM
  ibrav = 0, nat = 3, ntyp = 3
/
ATOMIC_SPECIES
Zr 91.22 Zr.upf
La 138.91 La.upf
Li 6.94 Li.upf
CELL_PARAMETERS angstrom
-0.991 2.966 -3.781
0.752 -1.548 -4.595
-3.823 -0.948 -2.926
ATOMIC_POSITIONS crystal
Zr 0.000 0.000 0.000
La 0.500 0.500 0.500
Li 0.750 0.750 0.750
```

Values from the calculation:
- Crystal system: cubic
- Energy of formation: 726.4 meV/atom
- DFT total energy: -4.403 eV per atom

---

Below is LiLaZr2 after structural relaxation, with properties calculated at the PBE-GGA level. Values from VASP.

Cell and atoms, written as Quantum ESPRESSO input:
```
&SYSTEM
  ibrav = 0, nat = 4, ntyp = 3
/
ATOMIC_SPECIES
Li 6.94 Li.upf
Zr 91.22 Zr.upf
La 138.91 La.upf
CELL_PARAMETERS angstrom
-5.079 5.171 8.280
-6.818 2.424 8.290
-4.008 2.576 9.919
ATOMIC_POSITIONS crystal
Li 0.750 0.750 0.750
Zr 0.496 0.496 0.496
Zr 0.004 0.004 0.004
La 0.250 0.250 0.250
```

Values from the calculation:
- Crystal system: trigonal
- Energy of formation: 315.3 meV/atom
- DFT total energy: -5.669 eV per atom

---

Below is LiLa2Zr after structural relaxation, with properties calculated at the PBE-GGA level. Values from VASP.

Cell and atoms, written as Quantum ESPRESSO input:
```
&SYSTEM
  ibrav = 0, nat = 4, ntyp = 3
/
ATOMIC_SPECIES
Li 6.94 Li.upf
La 138.91 La.upf
Zr 91.22 Zr.upf
CELL_PARAMETERS angstrom
-2.667 -2.717 4.194
0.641 -3.451 4.445
0.604 4.258 4.490
ATOMIC_POSITIONS crystal
Li 0.750 0.750 0.750
La 0.006 0.006 0.998
La 0.494 0.494 0.502
Zr 0.250 0.250 0.250
```

Values from the calculation:
- Crystal system: monoclinic
- Energy of formation: 241.7 meV/atom
- DFT total energy: -4.838 eV per atom